No. 1
# CoCu2AuN

A relaxed CoCu2AuN crystal (PBE, Alexandria via LeMat-Bulk).

Geometry as extended XYZ:
```
5
Lattice="3.999 0.000 0.000 0.000 3.999 0.000 0.000 0.000 3.706" Properties=species:S:1:pos:R:3 pbc="T T T"
N 0.000 0.000 0.000
Co 0.000 0.000 1.853
Cu 0.000 1.999 0.000
Cu 1.999 0.000 0.000
Au 1.999 1.999 1.853
```

Summary:
Its density of states at the Fermi level is 2.5 states/eV per cell. Its raw total energy is -5.249 eV per atom. The magnetic moment is 0.863 Bohr magnetons per cell.

***

No. 2
# Cs2HfHgBr6

A relaxed Cs2HfHgBr6 crystal (PBE, Alexandria via LeMat-Bulk).

Geometry as extended XYZ:
```
20
Lattice="-5.550 -4.811 2.649 -2.279 -6.089 -4.325 10.952 -14.664 7.824" Properties=species:S:1:pos:R:3 pbc="T T T"
Br 5.735 -18.048 8.289
Br 7.450 -18.718 4.632
Br -2.612 -7.515 -2.141
Br -5.523 -10.039 -0.751
Br 1.383 -15.377 3.466
Br 1.740 -10.187 2.682
Br 4.026 -13.087 2.205
Br 2.468 -12.478 5.525
Br 0.655 -13.085 0.624
Br 8.646 -15.525 6.900
Br -0.903 -12.477 3.943
Br -4.327 -6.845 1.517
Hf 0.000 0.000 0.000
Hf 1.561 -12.782 3.074
Hg -1.887 -9.977 0.943
Hg 5.010 -15.586 5.206
Cs 4.730 -21.115 6.087
Cs 5.191 -9.978 4.263
Cs -2.068 -15.586 1.885
Cs -1.608 -4.448 0.061
```

Summary:
Its density of states at the Fermi level is 0.0 states/eV per cell. Its raw total energy is -3.667 eV per atom. The magnetic moment is 0.000 Bohr magnetons per cell.

***

No. 3
# BaPPb

A relaxed BaPPb crystal (PBE, Alexandria via LeMat-Bulk).

Geometry as extended XYZ:
```
6
Lattice="6.586 0.000 0.000 0.000 5.096 -2.129 0.000 0.267 5.516" Properties=species:S:1:pos:R:3 pbc="T T T"
Pb 0.000 0.000 0.000
Pb 3.293 0.000 0.000
Ba 4.939 1.957 2.841
Ba 1.646 3.406 0.546
P 4.939 3.700 0.080
P 1.646 1.663 3.307
```

Summary:
Its density of states at the Fermi level is 3.1 states/eV per cell. Its raw total energy is -4.108 eV per atom. The value obtained for the energy relative to the elements is -0.4276 eV/atom. The magnetic moment is 0.000 Bohr magnetons per cell.

***

No. 4
# Rb2TaCr2Se6

A relaxed Rb2TaCr2Se6 crystal (PBE, Alexandria via LeMat-Bulk).

Geometry as extended XYZ:
```
11
Lattice="6.425 -0.027 0.056 -3.199 5.572 0.056 -1.118 -1.921 8.152" Properties=species:S:1:pos:R:3 pbc="T T T"
Se 3.756 2.704 2.720
Se -1.648 0.920 5.544
Se 0.563 0.968 2.663
Se 1.545 2.656 5.600
Se 0.494 4.602 2.720
Se 1.614 -0.978 5.544
Rb -1.618 4.652 0.056
Rb 4.844 0.893 0.056
Ta -0.559 -0.961 4.076
Cr 2.665 0.875 4.132
Cr -0.556 2.749 4.132
```

Summary:
Its density of states at the Fermi level is 4.2 states/eV per cell. Its raw total energy is -5.686 eV per atom. The magnetic moment is 4.927 Bohr magnetons per cell.

***

No. 5
# Ce2ThZn2Sn2

A relaxed Ce2ThZn2Sn2 crystal (PBE, Alexandria via LeMat-Bulk).

Geometry as extended XYZ:
```
7
Lattice="-3.987 -1.868 -1.159 -1.356 -3.876 1.968 -6.138 3.109 7.161" Properties=species:S:1:pos:R:3 pbc="T T T"
Zn -6.823 -0.069 5.698
Zn -4.658 -2.566 2.273
Th 0.000 0.000 0.000
Sn -8.814 -1.742 6.299
Sn -2.667 -0.893 1.671
Ce -7.205 -3.597 3.755
Ce -4.275 0.961 4.215
```

Summary:
Its density of states at the Fermi level is 12.6 states/eV per cell. Its raw total energy is -4.538 eV per atom. The value obtained for the energy relative to the elements is -0.2754 eV/atom. The magnetic moment is 2.256 Bohr magnetons per cell.

***

No. 6
# KTe2N

A relaxed KTe2N crystal (PBE, Alexandria via LeMat-Bulk).

Geometry as extended XYZ:
```
4
Lattice="2.082 0.000 9.705 -1.041 1.803 9.705 -1.041 -1.803 9.705" Properties=species:S:1:pos:R:3 pbc="T T T"
Te 0.000 0.000 3.366
Te 0.000 0.000 25.749
K 0.000 0.000 0.000
N 0.000 0.000 14.557
```

Summary:
Its density of states at the Fermi level is 2.2 states/eV per cell. Its raw total energy is -3.092 eV per atom. The magnetic moment is 0.000 Bohr magnetons per cell.

***

> What is the formula in the fifth record?

Ce2ThZn2Sn2

***

> What is the formula in the first record?

CoCu2AuN

***

> Which value of magnetic moment does entry 3 give?

0.000 Bohr magnetons per cell

***

> Look up the magnetic moment of the second one.

0.000 Bohr magnetons per cell